# 1
VASP calculation (PBE) on a geometry-optimized HfMgSeBr2 structure.

Structure (POSCAR):
```
HfMgSeBr2
1.0
-1.013 3.926 2.820
0.744 -2.721 4.054
5.150 1.355 -0.036
Se Mg Br Hf
1 1 2 1
Direct
0.000 0.000 0.500
0.000 0.000 0.000
0.000 0.500 0.000
0.500 0.000 0.000
0.500 0.500 0.500
```

The value obtained for the final energy is -3.8114 eV per atom. The calculation puts the relative energy among the computed polymorphs at 482.6 meV per atom.

# 2
VASP calculation (PBE) on a geometry-optimized BeMoCl2 structure.

Structure (POSCAR):
```
BeMoCl2
1.0
9.208 0.049 0.029
8.679 3.077 0.029
8.679 1.517 2.678
Mo Be Cl
1 1 2
Direct
0.507 0.507 0.507
0.251 0.251 0.251
0.779 0.779 0.779
0.964 0.964 0.964
```

The value obtained for the final energy is -4.8671 eV per atom. The calculation puts the relative energy among the computed polymorphs at 0.0 meV per atom.

# 3
VASP calculation (PBE) on a geometry-optimized Pr6NdDy3Er2 structure.

Structure (POSCAR):
```
Pr6NdDy3Er2
1.0
-2.703 3.078 4.806
5.271 -3.343 0.957
5.613 9.581 -4.359
Pr Dy Nd Er
6 3 1 2
Direct
0.418 0.084 0.251
0.084 0.418 0.251
0.916 0.582 0.749
0.250 0.250 0.749
0.582 0.916 0.749
0.750 0.750 0.251
0.500 0.500 0.500
0.167 0.833 0.500
0.833 0.167 0.500
0.000 0.000 0.000
0.333 0.667 0.000
0.667 0.333 0.000
```

The value obtained for the final energy is -4.6853 eV per atom. The calculation puts the formation energy at 0.013 eV per atom.

# 4
VASP calculation (PBE) on a geometry-optimized HoLuZnAu structure.

Structure (POSCAR):
```
HoLuZnAu
1.0
-1.810 3.144 3.456
-4.865 1.199 -0.007
-3.009 -1.719 3.620
Lu Zn Ho Au
1 1 1 1
Direct
0.250 0.250 0.250
0.000 0.000 0.000
0.750 0.750 0.750
0.500 0.500 0.500
```

The value obtained for the final energy is -4.0262 eV per atom. The calculation puts the formation energy at -0.614 eV per atom.

# 5
VASP calculation (PBE) on a geometry-optimized KHgPdPb structure.

Structure (POSCAR):
```
KHgPdPb
1.0
-0.840 0.113 4.729
2.565 -2.781 2.962
4.726 3.611 3.194
Pd Pb Hg K
1 1 1 1
Direct
0.637 0.637 0.088
0.268 0.268 0.197
0.011 0.011 0.966
0.809 0.809 0.572
```

The value obtained for the final energy is -2.7426 eV per atom. The calculation puts the formation energy at -0.167 eV per atom.

# 6
VASP calculation (PBE) on a geometry-optimized Cs structure.

Structure (POSCAR):
```
Cs
1.0
-7.936 3.682 -11.254
3.981 -13.571 1.780
-7.211 -1.514 4.590
Cs
12
Direct
0.615 0.101 0.750
0.899 0.514 0.750
0.385 0.899 0.250
0.179 0.929 0.750
0.251 0.179 0.250
0.101 0.486 0.250
0.071 0.251 0.750
0.749 0.821 0.750
0.929 0.749 0.250
0.514 0.615 0.250
0.821 0.071 0.250
0.486 0.385 0.750
```

The value obtained for the final energy is -0.8012 eV per atom. The calculation puts the formation energy at 0.052 eV per atom. The calculation puts the relative energy among the computed polymorphs at 52.3 meV per atom.

# 7
VASP calculation (PBE) on a geometry-optimized BiPd3Au structure.

Structure (POSCAR):
```
BiPd3Au
1.0
-3.207 -1.689 -3.165
-5.251 -2.754 4.637
-3.615 3.814 0.875
Pd Au Bi
6 2 2
Direct
0.762 0.863 0.451
0.755 0.460 0.645
0.245 0.540 0.355
0.238 0.137 0.549
0.761 0.666 0.051
0.239 0.334 0.949
0.739 0.063 0.862
0.261 0.937 0.138
0.270 0.723 0.740
0.730 0.277 0.260
```

The value obtained for the final energy is -4.7306 eV per atom. The calculation puts the formation energy at -0.183 eV per atom. The calculation puts the relative energy among the computed polymorphs at 0.0 meV per atom.

# 8
VASP calculation (PBE) on a geometry-optimized AcCe3Te4 structure.

Structure (POSCAR):
```
AcCe3Te4
1.0
4.518 -0.044 0.092
0.029 7.610 2.183
-0.157 0.404 7.905
Ac Te Ce
1 4 3
Direct
0.500 0.500 0.000
0.500 0.245 0.745
0.500 0.755 0.255
0.000 0.760 0.740
0.000 0.240 0.260
0.500 0.000 0.500
0.000 0.000 0.000
0.000 0.500 0.500
```

The value obtained for the final energy is -5.6953 eV per atom.

# 9
VASP calculation (PBE) on a geometry-optimized Sn2AsP structure.

Structure (POSCAR):
```
Sn2AsP
1.0
-0.174 1.868 -3.443
-1.487 -1.814 -3.142
-6.922 2.422 -0.569
Sn P As
2 1 1
Direct
0.252 0.252 0.243
0.078 0.078 0.766
0.671 0.671 0.986
0.498 0.498 0.505
```

The value obtained for the final energy is -4.4814 eV per atom. The calculation puts the formation energy at 0.035 eV per atom. The calculation puts the relative energy among the computed polymorphs at 61.2 meV per atom.

# 10
VASP calculation (PBE) on a geometry-optimized ThInGaHg structure.

Structure (POSCAR):
```
ThInGaHg
1.0
-0.577 -4.172 -3.002
4.021 -1.826 -2.691
2.195 -4.483 1.353
Hg Th In Ga
1 1 1 1
Direct
0.750 0.750 0.750
0.000 0.000 0.000
0.500 0.500 0.500
0.250 0.250 0.250
```

The value obtained for the final energy is -3.5982 eV per atom. The calculation puts the formation energy at -0.226 eV per atom.

# 11
VASP calculation (PBE) on a geometry-optimized EuTmGaPb structure.

Structure (POSCAR):
```
EuTmGaPb
1.0
-4.216 0.414 -3.259
-4.924 -0.910 1.871
-3.433 4.057 0.573
Eu Pb Tm Ga
1 1 1 1
Direct
0.000 0.000 0.000
0.750 0.750 0.750
0.500 0.500 0.500
0.250 0.250 0.250
```

The value obtained for the final energy is -5.7863 eV per atom. The calculation puts the formation energy at -0.416 eV per atom.

# 12
VASP calculation (PBE) on a geometry-optimized U3In2Se8 structure.

Structure (POSCAR):
```
U3In2Se8
1.0
-6.386 -0.871 -3.057
3.697 -0.977 -7.445
0.705 -6.346 5.888
Se U In
8 3 2
Direct
0.607 0.665 0.785
0.906 0.104 0.208
0.607 0.120 0.785
0.938 0.608 0.215
0.094 0.896 0.792
0.393 0.335 0.215
0.393 0.880 0.215
0.062 0.392 0.785
0.000 0.743 0.000
0.000 0.257 0.000
0.500 0.000 0.000
0.343 0.265 0.529
0.657 0.735 0.471
```

The value obtained for the final energy is -6.0505 eV per atom.

# 13
VASP calculation (PBE) on a geometry-optimized CaCu2Te structure.

Structure (POSCAR):
```
CaCu2Te
1.0
6.043 0.035 0.008
3.265 5.085 -0.008
-4.652 -2.562 2.882
Ca Te Cu
1 1 2
Direct
0.228 0.728 0.500
0.493 0.493 0.000
0.826 0.326 0.500
0.953 0.953 0.000
```

The value obtained for the final energy is -3.5281 eV per atom.

# 14
VASP calculation (PBE) on a geometry-optimized ZrGeS2N structure.

Structure (POSCAR):
```
ZrGeS2N
1.0
-4.074 1.631 1.960
-2.398 -1.195 -3.990
-0.642 -3.232 1.354
Zr S Ge N
1 2 1 1
Direct
0.500 0.500 0.500
0.500 0.000 0.000
0.000 0.500 0.000
0.000 0.000 0.000
0.000 0.000 0.500
```

The value obtained for the final energy is -5.8201 eV per atom. The calculation puts the relative energy among the computed polymorphs at 212.2 meV per atom.

# 15
VASP calculation (PBE) on a geometry-optimized CaIn2Co2 structure.

Structure (POSCAR):
```
CaIn2Co2
1.0
-1.738 2.380 -3.271
-3.514 0.876 2.504
-0.299 5.804 1.420
In Co Ca
2 2 1
Direct
0.250 0.750 0.500
0.750 0.250 0.500
0.606 0.606 0.789
0.394 0.394 0.211
0.000 0.000 0.000
```

The value obtained for the final energy is -4.3108 eV per atom. The calculation puts the formation energy at 0.027 eV per atom. The calculation puts the relative energy among the computed polymorphs at 0.0 meV per atom.

# 16
VASP calculation (PBE) on a geometry-optimized LiGaSi structure.

Structure (POSCAR):
```
LiGaSi
1.0
5.056 0.000 0.018
0.000 2.713 0.000
-0.546 0.000 6.749
Li Si Ga
2 2 2
Direct
0.213 0.500 0.203
0.787 0.500 0.797
0.000 0.000 0.500
0.500 0.000 0.500
0.285 0.000 0.850
0.715 0.000 0.150
```

The value obtained for the final energy is -3.5618 eV per atom.

# 17
VASP calculation (PBE) on a geometry-optimized YEr6Tm8 structure.

Structure (POSCAR):
```
YEr6Tm8
1.0
-5.429 6.871 -1.674
-8.131 -1.457 -3.356
-7.033 1.351 4.607
Tm Er Y
8 6 1
Direct
0.576 0.576 0.271
0.722 0.109 0.429
0.740 0.722 0.429
0.109 0.740 0.429
0.891 0.260 0.571
0.260 0.278 0.571
0.278 0.891 0.571
0.424 0.424 0.729
0.116 0.220 0.124
0.884 0.780 0.876
0.220 0.541 0.124
0.780 0.459 0.876
0.541 0.116 0.124
0.459 0.884 0.876
0.000 0.000 0.000
```

The value obtained for the final energy is -4.5049 eV per atom. The calculation puts the formation energy at 0.136 eV per atom. The calculation puts the relative energy among the computed polymorphs at 0.0 meV per atom.

# 18
VASP calculation (PBE) on a geometry-optimized CsTlSnBr4 structure.

Structure (POSCAR):
```
CsTlSnBr4
1.0
5.856 0.000 0.000
0.000 5.856 0.000
-2.928 -2.928 8.749
Sn Br Tl Cs
1 4 1 1
Direct
0.998 0.998 0.995
0.495 0.995 0.990
0.838 0.838 0.675
0.995 0.495 0.990
0.181 0.181 0.362
0.356 0.356 0.713
0.638 0.638 0.275
```

The value obtained for the final energy is -3.0669 eV per atom.

# 19
VASP calculation (PBE) on a geometry-optimized Pm6ErTl5 structure.

Structure (POSCAR):
```
Pm6ErTl5
1.0
-1.255 4.601 1.745
-2.340 2.537 -8.375
-5.410 -6.018 4.587
Tl Pm Er
5 6 1
Direct
0.351 0.851 0.701
0.326 0.326 0.652
0.674 0.674 0.348
0.000 0.500 0.000
0.649 0.149 0.299
0.171 0.432 0.342
0.171 0.910 0.342
0.500 0.733 0.000
0.829 0.568 0.658
0.500 0.267 0.000
0.829 0.090 0.658
0.000 0.000 0.000
```

The value obtained for the final energy is -4.0407 eV per atom. The calculation puts the formation energy at -0.299 eV per atom.

# 20
VASP calculation (PBE) on a geometry-optimized Fe2W structure.

Structure (POSCAR):
```
Fe2W
1.0
-3.406 0.985 0.756
-1.217 -3.087 -1.461
3.077 -3.989 10.363
W Fe
4 8
Direct
0.923 0.923 0.845
0.327 0.827 0.655
0.077 0.077 0.155
0.173 0.673 0.345
0.751 0.751 0.501
0.419 0.419 0.839
0.669 0.169 0.339
0.001 0.501 0.001
0.499 0.999 0.999
0.831 0.331 0.661
0.581 0.581 0.161
0.249 0.249 0.499
```

The value obtained for the final energy is -9.8700 eV per atom. The calculation puts the formation energy at 0.090 eV per atom.

# 21
VASP calculation (PBE) on a geometry-optimized La3NdIn3 structure.

Structure (POSCAR):
```
La3NdIn3
1.0
7.646 1.848 0.481
-1.752 7.669 0.481
-0.336 -0.542 7.422
La In Nd
6 6 2
Direct
0.266 0.734 0.000
0.258 0.742 0.500
0.742 0.258 0.500
0.734 0.266 0.000
0.251 0.251 0.500
0.749 0.749 0.500
0.000 0.000 0.237
0.000 0.500 0.243
0.500 0.000 0.757
0.500 0.000 0.243
0.000 0.500 0.757
0.000 0.000 0.763
0.255 0.255 0.000
0.745 0.745 0.000
```

The value obtained for the final energy is -4.3236 eV per atom. The calculation puts the formation energy at -0.357 eV per atom. The calculation puts the relative energy among the computed polymorphs at 5.3 meV per atom.

# 22
VASP calculation (PBE) on a geometry-optimized YFe3Cl structure.

Structure (POSCAR):
```
YFe3Cl
1.0
4.257 0.000 0.000
0.000 4.257 0.000
0.000 0.000 4.257
Cl Fe Y
1 3 1
Direct
0.000 0.000 0.000
0.000 0.000 0.500
0.000 0.500 0.000
0.500 0.000 0.000
0.500 0.500 0.500
```

The value obtained for the final energy is -6.2785 eV per atom. The calculation puts the relative energy among the computed polymorphs at 0.0 meV per atom.

# 23
VASP calculation (PBE) on a geometry-optimized FeCu2Hg2 structure.

Structure (POSCAR):
```
FeCu2Hg2
1.0
-1.987 1.987 5.970
1.987 -1.987 5.970
1.987 1.987 -5.970
Cu Hg Fe
2 2 1
Direct
0.594 0.594 0.000
0.406 0.406 0.000
0.750 0.250 0.500
0.250 0.750 0.500
0.000 0.000 0.000
```

The value obtained for the final energy is -2.7422 eV per atom. The calculation puts the formation energy at 0.710 eV per atom. The calculation puts the relative energy among the computed polymorphs at 305.8 meV per atom.

# 24
VASP calculation (PBE) on a geometry-optimized EuGaSnAu structure.

Structure (POSCAR):
```
EuGaSnAu
1.0
5.086 0.000 0.000
2.543 4.405 0.000
2.543 1.468 4.153
Ga Au Sn Eu
1 1 1 1
Direct
0.750 0.750 0.750
0.250 0.250 0.250
0.500 0.500 0.500
0.000 0.000 0.000
```

The value obtained for the final energy is -5.6416 eV per atom. The calculation puts the formation energy at -0.496 eV per atom.

# 25
VASP calculation (PBE) on a geometry-optimized Pm12ScSi6 structure.

Structure (POSCAR):
```
Pm12ScSi6
1.0
-6.980 4.263 -2.784
-0.278 -7.514 -4.256
-1.932 -2.118 8.151
Pm Si Sc
12 6 1
Direct
0.500 0.124 0.876
0.438 0.438 0.174
0.124 0.500 0.876
0.500 0.876 0.124
0.124 0.876 0.500
0.438 0.174 0.438
0.826 0.562 0.562
0.876 0.124 0.500
0.562 0.826 0.562
0.562 0.562 0.826
0.876 0.500 0.124
0.174 0.438 0.438
0.253 0.253 0.693
0.307 0.747 0.747
0.693 0.253 0.253
0.747 0.747 0.307
0.253 0.693 0.253
0.747 0.307 0.747
0.000 0.000 0.000
```

The value obtained for the final energy is -5.2995 eV per atom.